[1]
Here is crystalline Pr2Ga at its relaxed geometry from the Open Quantum Materials Database. Energies are from GGA-PBE.

Unit cell a=12.9482 b=12.9482 c=12.9482 alpha=90.00 beta=90.00 gamma=90.00
Space group Fd-3m (No. 227, origin choice 2)
One atom of each set of equivalent atoms:
Pr: 0.0000 0.0000 0.0000 [16 per cell]
Ga: 0.1250 0.1250 0.1250 [8 per cell]



[2]
Here is crystalline Pr2Ga at its relaxed geometry from the Open Quantum Materials Database. Energies are from GGA-PBE.

Unit cell a=9.0429 b=9.0429 c=9.0429 alpha=90.00 beta=90.00 gamma=90.00
Space group Fd-3m (No. 227, origin choice 2)
One atom of each set of equivalent atoms:
Pr: 0.0000 0.0000 0.0000 [16 per cell]
Ga: 0.1250 0.1250 0.6250 [8 per cell]



[3]
Here is crystalline PrGa at its relaxed geometry from the Open Quantum Materials Database. Energies are from GGA-PBE.

Unit cell a=4.5190 b=11.4007 c=4.1922 alpha=90.00 beta=90.00 gamma=90.00
Space group Cmcm (No. 63)
One atom of each set of equivalent atoms:
Pr: 0.0000 0.1402 0.2500 [4 per cell]
Ga: 0.0000 0.4291 0.2500 [4 per cell]



[4]
Here is crystalline PrGa at its relaxed geometry from the Open Quantum Materials Database. Energies are from GGA-PBE.

Unit cell a=6.7490 b=6.7490 c=6.7490 alpha=90.00 beta=90.00 gamma=90.00
Space group F-43m (No. 216)
One atom of each set of equivalent atoms:
Pr: 0.0000 0.0000 0.0000 [4 per cell]
Ga: 0.2500 0.2500 0.2500 [4 per cell]



The records above give, respectively, DFT total energy values of -72.49, -93.56, -35.87, -28.01 eV for the cell shown.
The records above give, respectively, ρ values of 2.2, 6.3, 6.5, 4.6 Mg/m³.
The records above give, respectively, M_tot values of 0.00, 0.01, 0.01, 0.03 μB/f.u..